Entry 1:
Entry from the Alexandria database: crystalline CaGe2Au4 at its relaxed geometry (PBE-GGA).

a b c (Å): 4.7121 6.7039 17.9066
angles (deg): 90.00 90.00 90.00
With the nearest neighbours (Å) after each atom.
Sites, in units of the cell vectors:
1 Ca 0.7500 0.9744 0.6378  10 Au 3.17-3.54, 6 Ge 3.25-3.44
2 Ca 0.2500 0.0256 0.3622  10 Au 3.17-3.54, 6 Ge 3.25-3.44
3 Ca 0.2500 0.4744 0.8622  10 Au 3.17-3.54, 6 Ge 3.25-3.44
4 Ca 0.7500 0.5256 0.1378  10 Au 3.17-3.54, 6 Ge 3.25-3.44
5 Au 0.2500 0.2419 0.7003  3 Ge 2.52-2.69
6 Au 0.7500 0.7581 0.2997  3 Ge 2.52-2.69
7 Au 0.7500 0.7419 0.7997  3 Ge 2.52-2.69
8 Au 0.2500 0.2581 0.2003  3 Ge 2.52-2.69
9 Au 0.2500 0.6548 0.6639  2 Ge 2.56-2.72, 1 Au 2.84
10 Au 0.7500 0.3452 0.3361  2 Ge 2.56-2.72, 1 Au 2.84
11 Au 0.7500 0.1548 0.8361  2 Ge 2.56-2.72, 1 Au 2.84
12 Au 0.2500 0.8452 0.1639  2 Ge 2.56-2.72, 1 Au 2.84
13 Au 0.2500 0.2127 0.5347  3 Ge 2.64-2.77, 1 Au 2.94
14 Au 0.7500 0.7873 0.4653  3 Ge 2.64-2.77, 1 Au 2.94
15 Au 0.7500 0.7127 0.9653  3 Ge 2.64-2.77, 1 Au 2.94
16 Au 0.2500 0.2873 0.0347  3 Ge 2.64-2.77, 1 Au 2.94
17 Au 0.2500 0.5298 0.4215  2 Ge 2.60-2.67
18 Au 0.7500 0.4702 0.5785  2 Ge 2.60-2.67
19 Au 0.7500 0.0298 0.0785  2 Ge 2.60-2.67
20 Au 0.2500 0.9702 0.9215  2 Ge 2.60-2.67
21 Ge 0.2500 0.7996 0.5313  5 Au 2.56-2.77
22 Ge 0.7500 0.2004 0.4687  5 Au 2.56-2.77
23 Ge 0.7500 0.2996 0.9687  5 Au 2.56-2.77
24 Ge 0.2500 0.7004 0.0313  5 Au 2.56-2.77
25 Ge 0.2500 0.9265 0.7770  5 Au 2.52-2.72
26 Ge 0.7500 0.0735 0.2230  5 Au 2.52-2.72
27 Ge 0.7500 0.4265 0.7230  5 Au 2.52-2.72
28 Ge 0.2500 0.5735 0.2770  5 Au 2.52-2.72

Output
**ΔE to the lowest computed polymorph**: 9 meV/atom
**Formation energy from the elements**: -320 meV/atom


Entry 2:
Entry from the Alexandria database: crystalline Ca3GeAu8 at its relaxed geometry (PBE-GGA).

a b c (Å): 5.6255 5.6255 9.9439
angles (deg): 73.57 73.57 60.00
With the nearest neighbours (Å) after each atom.
Sites, in units of the cell vectors:
1 Ca 0.3790 0.3790 0.8629  12 Au 3.26-3.40, 3 Ca 3.64
2 Ca 0.9876 0.9876 0.0372  9 Au 3.12-3.39, 1 Ge 3.48
3 Ca 0.5094 0.5094 0.4718  12 Au 3.19-3.46, 3 Ge 3.30
4 Ge 0.8643 0.8643 0.4070  6 Au 3.10-3.26, 3 Ca 3.30
5 Au 0.9424 0.4383 0.1810  6 Au 2.79-2.87, 2 Ca 3.12
6 Au 0.4354 0.9388 0.6869  6 Au 2.79-2.88, 1 Ge 3.10
7 Au 0.4383 0.4383 0.1810  6 Au 2.79-2.87, 2 Ca 3.12
8 Au 0.9388 0.9388 0.6869  6 Au 2.79-2.88, 1 Ge 3.10
9 Au 0.1889 0.1889 0.4332  6 Au 2.87-2.88
10 Au 0.6886 0.6886 0.9341  6 Au 2.84
11 Au 0.4383 0.9424 0.1810  6 Au 2.79-2.87, 2 Ca 3.12
12 Au 0.9388 0.4354 0.6869  6 Au 2.79-2.88, 1 Ge 3.10

Output
**Formation energy from the elements**: -476 meV/atom


Entry 3:
Entry from the Alexandria database: crystalline CaGe2Au at its relaxed geometry (PBE-GGA).

a b c (Å): 4.3223 4.3447 4.3447
angles (deg): 90.00 90.00 90.00
With the nearest neighbours (Å) after each atom.
Sites, in units of the cell vectors:
1 Ge 0.0000 0.0000 0.5000  4 Au 3.06, 4 Ca 3.06, 4 Ge 3.07
2 Ge 0.0000 0.5000 0.0000  4 Ca 3.06, 4 Au 3.06, 4 Ge 3.07
3 Au 0.5000 0.5000 0.5000  8 Ge 3.06, 4 Ca 3.07
4 Ca 0.5000 0.0000 0.0000  8 Ge 3.06, 4 Au 3.07

Output
**Formation energy from the elements**: -312 meV/atom


Entry 4:
Entry from the Alexandria database: crystalline Ca4GeAu2 at its relaxed geometry (PBE-GGA).

a b c (Å): 5.1155 5.1155 8.9431
angles (deg): 73.38 73.38 60.00
With the nearest neighbours (Å) after each atom.
Sites, in units of the cell vectors:
1 Ca 0.8759 0.8759 0.3724  4 Au 3.09-3.10, 1 Ge 3.14
2 Ca 0.1241 0.1241 0.6276  4 Au 3.09-3.10, 1 Ge 3.14
3 Ca 0.6256 0.6256 0.1232  3 Ge 3.13, 4 Au 3.18-3.25
4 Ca 0.3744 0.3744 0.8768  3 Ge 3.13, 4 Au 3.18-3.25
5 Au 0.7539 0.7539 0.7382  8 Ca 3.09-3.25
6 Au 0.2461 0.2461 0.2618  8 Ca 3.09-3.25
7 Ge 0.0000 0.0000 0.0000  8 Ca 3.13-3.14

Output
**Formation energy from the elements**: -666 meV/atom


Entry 5:
Entry from the Alexandria database: crystalline CaGe2Au4 at its relaxed geometry (PBE-GGA).

a b c (Å): 4.8961 6.7026 4.8961
angles (deg): 103.13 104.58 76.87
With the nearest neighbours (Å) after each atom.
Sites, in units of the cell vectors:
1 Ca 0.0000 0.0000 0.0000  8 Au 3.22-3.25, 4 Ge 3.26
2 Ge 0.5462 0.7985 0.4538  4 Au 2.57-2.59, 1 Ge 2.59
3 Ge 0.4538 0.2015 0.5462  4 Au 2.57-2.59, 1 Ge 2.59
4 Au 0.5869 0.6715 0.9230  2 Ge 2.57-2.59
5 Au 0.4131 0.3285 0.0770  2 Ge 2.57-2.59
6 Au 0.9230 0.3285 0.5869  2 Ge 2.57-2.59
7 Au 0.0770 0.6715 0.4131  2 Ge 2.57-2.59

Output
**ΔE to the lowest computed polymorph**: 0 meV/atom
**Formation energy from the elements**: -329 meV/atom


Entry 6:
Entry from the Alexandria database: crystalline Ca2Ge3Au2 at its relaxed geometry (PBE-GGA).

a b c (Å): 4.4406 5.8039 6.7883
angles (deg): 108.45 90.00 112.49
With the nearest neighbours (Å) after each atom.
Sites, in units of the cell vectors:
1 Ca 0.8532 0.7064 0.2150  4 Au 3.15-3.19, 7 Ge 3.15-3.52
2 Ca 0.1468 0.2936 0.7850  4 Au 3.15-3.19, 7 Ge 3.15-3.52
3 Ge 0.5000 0.0000 0.0000  2 Ge 2.80, 4 Au 2.96
4 Ge 0.6014 0.2028 0.4383  2 Ge 2.58-2.80, 3 Au 2.69-2.71
5 Ge 0.3986 0.7972 0.5617  2 Ge 2.58-2.80, 3 Au 2.69-2.71
6 Au 0.8449 0.6899 0.7411  5 Ge 2.69-2.96
7 Au 0.1551 0.3101 0.2589  5 Ge 2.69-2.96

Output
**Formation energy from the elements**: -473 meV/atom


Entry 7:
Entry from the Alexandria database: crystalline Ca3Hg2GeAu8 at its relaxed geometry (PBE-GGA).

a b c (Å): 5.6511 5.6511 11.0279
angles (deg): 90.00 90.00 120.00
With the nearest neighbours (Å) after each atom.
Sites, in units of the cell vectors:
1 Ca 0.3333 0.6667 0.5654  7 Au 2.96-3.18
2 Ca 0.6667 0.3333 0.4346  7 Au 2.96-3.18
3 Ca 0.0000 0.0000 0.0000  6 Hg 3.38, 12 Au 3.71-3.74
4 Hg 0.3333 0.6667 0.0811  4 Au 2.73-2.92
5 Hg 0.6667 0.3333 0.9189  4 Au 2.73-2.92
6 Ge 0.0000 0.0000 0.5000  6 Au 2.74
7 Au 0.3333 0.6667 0.8338  1 Hg 2.73, 1 Ca 2.96
8 Au 0.6667 0.3333 0.1662  1 Hg 2.73, 1 Ca 2.96
9 Au 0.1675 0.8325 0.3014  1 Ge 2.74, 4 Au 2.81-2.84, 1 Hg 2.92
10 Au 0.8325 0.1675 0.6986  1 Ge 2.74, 4 Au 2.81-2.84, 1 Hg 2.92
11 Au 0.1675 0.3350 0.3014  1 Ge 2.74, 4 Au 2.81-2.84, 1 Hg 2.92
12 Au 0.8325 0.6650 0.6986  1 Ge 2.74, 4 Au 2.81-2.84, 1 Hg 2.92
13 Au 0.6650 0.8325 0.3014  1 Ge 2.74, 4 Au 2.81-2.84, 1 Hg 2.92
14 Au 0.3350 0.1675 0.6986  1 Ge 2.74, 4 Au 2.81-2.84, 1 Hg 2.92

Output
**Formation energy from the elements**: -395 meV/atom


Entry 8:
Entry from the Alexandria database: crystalline Ca2HgGe4Au3 at its relaxed geometry (PBE-GGA).

a b c (Å): 4.4238 4.4238 11.1709
angles (deg): 90.00 90.00 90.00
With the nearest neighbours (Å) after each atom.
Sites, in units of the cell vectors:
1 Ca 0.5000 0.0000 0.2524  8 Ge 3.34-3.58, 6 Au 3.40-3.54, 2 Hg 3.54
2 Ca 0.0000 0.5000 0.7476  8 Ge 3.34-3.58, 6 Au 3.40-3.54, 2 Hg 3.54
3 Hg 0.5000 0.5000 0.5000  4 Ge 2.73
4 Ge 0.5000 0.5000 0.0000  4 Au 2.67
5 Ge 0.0000 0.0000 0.0000  4 Au 2.67
6 Ge 0.5000 0.0000 0.6428  3 Au 2.50-2.73, 2 Hg 2.73
7 Ge 0.0000 0.5000 0.3572  3 Au 2.50-2.73, 2 Hg 2.73
8 Au 0.0000 0.0000 0.5000  4 Ge 2.73
9 Au 0.5000 0.0000 0.8662  5 Ge 2.50-2.67
10 Au 0.0000 0.5000 0.1338  5 Ge 2.50-2.67

Output
**Formation energy from the elements**: -375 meV/atom


Entry 9:
Entry from the Alexandria database: crystalline Ca3Hg2Ge2Au4 at its relaxed geometry (PBE-GGA).

a b c (Å): 4.5282 4.5282 12.9888
angles (deg): 100.04 100.04 90.00
With the nearest neighbours (Å) after each atom.
Sites, in units of the cell vectors:
1 Ca 0.0000 0.0000 0.0000  8 Au 3.41, 8 Ge 3.44
2 Ca 0.1924 0.1924 0.3849  5 Hg 3.15-3.21, 4 Au 3.22
3 Ca 0.8076 0.8076 0.6151  5 Hg 3.15-3.21, 4 Au 3.22
4 Hg 0.3175 0.3175 0.6349  4 Au 3.05, 5 Ca 3.15-3.21, 1 Ge 3.34
5 Hg 0.6825 0.6825 0.3651  4 Au 3.05, 5 Ca 3.15-3.21, 1 Ge 3.34
6 Ge 0.4501 0.4501 0.9003  1 Ge 2.51, 4 Au 2.61
7 Ge 0.5499 0.5499 0.0997  1 Ge 2.51, 4 Au 2.61
8 Au 0.3986 0.8986 0.7973  2 Ge 2.61
9 Au 0.8986 0.3986 0.7973  2 Ge 2.61
10 Au 0.1014 0.6014 0.2027  2 Ge 2.61
11 Au 0.6014 0.1014 0.2027  2 Ge 2.61

Output
**Formation energy from the elements**: -482 meV/atom


Entry 10:
Entry from the Alexandria database: crystalline CaHoGeAu at its relaxed geometry (PBE-GGA).

a b c (Å): 5.0874 5.0874 5.0874
angles (deg): 60.00 60.00 60.00
With the nearest neighbours (Å) after each atom.
Sites, in units of the cell vectors:
1 Ge 0.2500 0.2500 0.2500  4 Ho 3.12, 4 Ca 3.12
2 Ca 0.5000 0.5000 0.5000  4 Au 3.12, 4 Ge 3.12
3 Au 0.7500 0.7500 0.7500  4 Ca 3.12, 4 Ho 3.12
4 Ho 0.0000 0.0000 0.0000  4 Ge 3.12, 4 Au 3.12

Output
**Formation energy from the elements**: -761 meV/atom


Entry 11:
Entry from the Alexandria database: crystalline Ca2HoGe3Au12 at its relaxed geometry (PBE-GGA).

a b c (Å): 7.9204 7.9204 7.9204
angles (deg): 70.97 70.97 70.97
With the nearest neighbours (Å) after each atom.
Sites, in units of the cell vectors:
1 Ca 0.5968 0.5968 0.5968  6 Au 2.93-3.12
2 Ca 0.4032 0.4032 0.4032  6 Au 2.93-3.12
3 Ho 0.0000 0.0000 0.0000  6 Au 2.88
4 Ge 0.5000 0.0000 0.0000  6 Au 2.57-2.61
5 Ge 0.0000 0.5000 0.0000  6 Au 2.57-2.61
6 Ge 0.0000 0.0000 0.5000  6 Au 2.57-2.61
7 Au 0.3072 0.3072 0.8331  2 Ge 2.61, 2 Au 2.86
8 Au 0.8419 0.8419 0.3803  1 Ge 2.57
9 Au 0.3803 0.8419 0.8419  1 Ge 2.57
10 Au 0.8331 0.3072 0.3072  2 Ge 2.61, 2 Au 2.86
11 Au 0.8419 0.3803 0.8419  1 Ge 2.57
12 Au 0.3072 0.8331 0.3072  2 Ge 2.61, 2 Au 2.86
13 Au 0.6928 0.6928 0.1669  2 Ge 2.61, 2 Au 2.86
14 Au 0.1581 0.1581 0.6197  1 Ge 2.57
15 Au 0.6197 0.1581 0.1581  1 Ge 2.57
16 Au 0.1669 0.6928 0.6928  2 Ge 2.61, 2 Au 2.86
17 Au 0.1581 0.6197 0.1581  1 Ge 2.57
18 Au 0.6928 0.1669 0.6928  2 Ge 2.61, 2 Au 2.86

Output
**Formation energy from the elements**: -156 meV/atom


Entry 12:
Entry from the Alexandria database: crystalline Ca3InGe2Au6 at its relaxed geometry (PBE-GGA).

a b c (Å): 6.1842 6.1842 8.6181
angles (deg): 90.00 90.00 120.00
With the nearest neighbours (Å) after each atom.
Sites, in units of the cell vectors:
1 Ca 0.3333 0.6667 0.6354  9 Au 3.20-3.56, 1 Ge 3.42
2 Ca 0.6667 0.3333 0.3646  9 Au 3.20-3.56, 1 Ge 3.42
3 Ca 0.0000 0.0000 0.0000  6 Au 3.01
4 In 0.0000 0.0000 0.5000  6 Au 2.73
5 Ge 0.6667 0.3333 0.9675  3 Au 2.65
6 Ge 0.3333 0.6667 0.0325  3 Au 2.65
7 Au 0.6461 0.8231 0.2713  1 Ge 2.65, 1 In 2.73, 2 Au 2.90
8 Au 0.1769 0.3539 0.2713  1 Ge 2.65, 1 In 2.73, 2 Au 2.90
9 Au 0.1769 0.8231 0.2713  1 Ge 2.65, 1 In 2.73, 2 Au 2.90
10 Au 0.8231 0.6461 0.7287  1 Ge 2.65, 1 In 2.73, 2 Au 2.90
11 Au 0.3539 0.1769 0.7287  1 Ge 2.65, 1 In 2.73, 2 Au 2.90
12 Au 0.8231 0.1769 0.7287  1 Ge 2.65, 1 In 2.73, 2 Au 2.90

Output
**Formation energy from the elements**: -416 meV/atom